Density functional theory data (GGA-PBE) for a relaxed structure of Nd5Y2Er5.

Raw total energy in eV/cell: -59.3

a = 8.0193 Å, b = 8.0193 Å, c = 11.3874 Å
α = 115.09°, β = 115.09°, γ = 36.84°
Fractional positions:
Nd: 0.0000 0.0000 0.0000
Nd: 0.0852 0.0852 0.7509
Nd: 0.1655 0.1655 0.4997
Nd: 0.8345 0.8345 0.5003
Nd: 0.9148 0.9148 0.2491
Y: 0.4168 0.4168 0.7518
Y: 0.5832 0.5832 0.2482
Er: 0.2492 0.2492 0.2476
Er: 0.3316 0.3316 0.9987
Er: 0.5000 0.5000 0.5000
Er: 0.6684 0.6684 0.0013
Er: 0.7508 0.7508 0.7524